## PuCd12Hg6 (PBE)

Data for an optimized crystal structure of PuCd12Hg6.

## Properties
Its calculated formation energy is -0.003 eV per atom. For the spin magnetization, the calculation gives 5.75 μB/f.u. For the uncorrected energy, the calculation gives -1.43 eV/atom.

Geometry as POSCAR:
```
PuCd12Hg6
1.0
-1.743 -6.928 -3.593
2.134 -2.284 7.360
-7.200 3.280 1.158
Cd Hg Pu
12 6 1
Cartesian
-1.130 -4.773 2.455
-3.484 -5.212 0.623
-3.324 -0.720 4.303
-7.895 -2.420 0.471
-3.190 -4.224 -2.312
-5.678 -1.159 2.471
-3.619 -1.709 7.238
-4.727 1.784 2.799
1.086 -3.512 4.455
-2.082 -7.717 2.126
-1.978 -3.335 4.966
-4.831 -2.597 -0.040
-1.552 -2.769 -0.089
-6.214 -4.389 2.215
-2.980 -0.154 1.086
-0.594 -1.543 2.711
-5.257 -3.164 5.014
-3.829 -5.778 3.839
0.000 0.000 0.000
```